First-principles (PBE-GGA) data for DyNiGePt3 after structural relaxation, as listed in the Alexandria database.

abc: 6.6630 6.6630 5.5879
angles: 90.00 90.00 119.57
Positions (direct):
Dy 0.2058 0.7942 0.7500
Dy 0.7942 0.2058 0.2500
Ni 0.4280 0.5720 0.7500
Ni 0.5720 0.4280 0.2500
Ge 0.1349 0.8651 0.2500
Ge 0.8651 0.1349 0.7500
Pt 0.2129 0.2129 0.0000
Pt 0.2129 0.2129 0.5000
Pt 0.3424 0.6576 0.2500
Pt 0.6576 0.3424 0.7500
Pt 0.7871 0.7871 0.0000
Pt 0.7871 0.7871 0.5000

Fermi-level density of states (states/eV/atom): 0.9036
Magnetic moment (μB/f.u.): 0.00
Symmetry: No. 63
E (eV per atom): -6.052